(1)
This record from Alexandria via LeMat-Bulk describes a relaxed structure of Mn2RuCl. The functional is GGA-PBE.

formation energy from raw total energies: 70 kJ per mole of atoms
calculated volume: 15.34 Å³/atom

```
data_Mn2RuCl
_cell_length_a 4.0191
_cell_length_b 4.0191
_cell_length_c 7.5970
_cell_angle_alpha 90.00
_cell_angle_beta 90.00
_cell_angle_gamma 90.00
_space_group_name_H-M_alt 'I 4/m m m'
_space_group_IT_number 139
_space_group_name_Hall '-I 4 2'
loop_
_atom_site_label
_atom_site_type_symbol
_atom_site_fract_x
_atom_site_fract_y
_atom_site_fract_z
Mn1 Mn 0.0000 0.5000 0.2500
Ru1 Ru 0.0000 0.0000 0.0000
Cl1 Cl 0.0000 0.0000 0.5000
```

(2)
This record from Alexandria via LeMat-Bulk describes a relaxed structure of MnRuCl. The functional is GGA-PBE.

formation energy from raw total energies: 17 kJ per mole of atoms
calculated volume: 15.71 Å³/atom

```
data_MnRuCl
_cell_length_a 3.0473
_cell_length_b 3.0473
_cell_length_c 5.8608
_cell_angle_alpha 90.00
_cell_angle_beta 90.00
_cell_angle_gamma 120.00
_space_group_name_H-M_alt 'P 3 m 1'
_space_group_IT_number 156
_space_group_name_Hall 'P 3 -2"'
loop_
_atom_site_label
_atom_site_type_symbol
_atom_site_fract_x
_atom_site_fract_y
_atom_site_fract_z
Mn1 Mn 0.0000 0.0000 0.0000
Ru1 Ru 0.6667 0.3333 0.2942
Cl1 Cl 0.3333 0.6667 0.6962
```

(3)
This record from Alexandria via LeMat-Bulk describes a relaxed structure of MnRu2Cl. The functional is GGA-PBE.

formation energy from raw total energies: 46 kJ per mole of atoms
calculated volume: 15.32 Å³/atom

```
data_MnRu2Cl
_cell_length_a 2.9109
_cell_length_b 4.9211
_cell_length_c 8.5560
_cell_angle_alpha 90.00
_cell_angle_beta 90.00
_cell_angle_gamma 90.00
_space_group_name_H-M_alt 'C m m 2'
_space_group_IT_number 35
_space_group_name_Hall 'C 2 -2'
loop_
_atom_site_label
_atom_site_type_symbol
_atom_site_fract_x
_atom_site_fract_y
_atom_site_fract_z
Mn1 Mn 0.0000 0.0000 0.0000
Ru1 Ru 0.0000 0.0000 0.5040
Ru2 Ru 0.0000 0.5000 0.7528
Cl1 Cl 0.0000 0.5000 0.2232
```

(4)
This record from Alexandria via LeMat-Bulk describes a relaxed structure of Mn2RuCl. The functional is GGA-PBE.

formation energy from raw total energies: 25 kJ per mole of atoms
calculated volume: 14.98 Å³/atom

```
data_Mn2RuCl
_cell_length_a 2.9343
_cell_length_b 2.9343
_cell_length_c 6.9592
_cell_angle_alpha 90.00
_cell_angle_beta 90.00
_cell_angle_gamma 90.00
_space_group_name_H-M_alt 'P 4 m m'
_space_group_IT_number 99
_space_group_name_Hall 'P 4 -2'
loop_
_atom_site_label
_atom_site_type_symbol
_atom_site_fract_x
_atom_site_fract_y
_atom_site_fract_z
Mn1 Mn 0.0000 0.0000 0.0000
Mn2 Mn 0.5000 0.5000 0.2450
Ru1 Ru 0.0000 0.0000 0.4303
Cl1 Cl 0.5000 0.5000 0.7576
```

(5)
This record from Alexandria via LeMat-Bulk describes a relaxed structure of Mn2RuCl. The functional is GGA-PBE.

formation energy from raw total energies: 58 kJ per mole of atoms
calculated volume: 14.96 Å³/atom

```
data_Mn2RuCl
_cell_length_a 2.9654
_cell_length_b 4.7898
_cell_length_c 8.4242
_cell_angle_alpha 90.00
_cell_angle_beta 90.00
_cell_angle_gamma 90.00
_space_group_name_H-M_alt 'I m m m'
_space_group_IT_number 71
_space_group_name_Hall '-I 2 2'
loop_
_atom_site_label
_atom_site_type_symbol
_atom_site_fract_x
_atom_site_fract_y
_atom_site_fract_z
Mn1 Mn 0.0000 0.0000 0.2419
Ru1 Ru 0.0000 0.5000 0.0000
Cl1 Cl 0.0000 0.5000 0.5000
```

(6)
This record from Alexandria via LeMat-Bulk describes a relaxed structure of MnRu2Cl. The functional is GGA-PBE.

formation energy from raw total energies: 68 kJ per mole of atoms
calculated volume: 14.10 Å³/atom

```
data_MnRu2Cl
_cell_length_a 4.3646
_cell_length_b 4.3646
_cell_length_c 2.9600
_cell_angle_alpha 90.00
_cell_angle_beta 90.00
_cell_angle_gamma 90.00
_space_group_name_H-M_alt 'P 4/m m m'
_space_group_IT_number 123
_space_group_name_Hall '-P 4 2'
loop_
_atom_site_label
_atom_site_type_symbol
_atom_site_fract_x
_atom_site_fract_y
_atom_site_fract_z
Mn1 Mn 0.0000 0.0000 0.0000
Ru1 Ru 0.0000 0.5000 0.5000
Cl1 Cl 0.5000 0.5000 0.0000
```